Below is a geometry-optimized MgFe2CuC structure, with properties calculated at the GGA-PBE level.

Cell: 3.7894 3.7894 4.0181 Å, 90.00 90.00 90.00°
Last column: magnetic moment on the atom in μB.
Sites, in units of the cell vectors:
C  0.0000  0.0000  0.0000  -0.08
Mg  0.5000  0.5000  0.5000  -0.03
Fe  0.0000  0.5000  0.0000  1.44
Fe  0.5000  0.0000  0.0000  1.44
Cu  0.0000  0.0000  0.5000  0.02

Output
Energy of formation from the pure elements   100 meV per atom
N(E_F)   2.920 states/eV per cell
Space group   P4/mmm
Calculated total energy   -31.3 eV/cell